This record from Alexandria via LeMat-Bulk describes a relaxed ReRh2 crystal. The functional is PBE-GGA.

Its spin magnetization is 0.0 μB per formula unit. Its symmetry is No. 2. The density of states at the Fermi level comes out at 0.786 states/eV/atom. The density comes out at 15073 kg/m³. The polymorph energy (0 for the lowest one) comes out at 7.99 kJ per mole of atoms.

abc: 2.721 4.739 7.219
angles: 108.81 100.81 90.01
Fractional positions:
Re1 0.087 0.421 0.168
Re2 0.913 0.579 0.832
Rh1 0.252 0.256 0.506
Rh2 0.424 0.095 0.844
Rh3 0.576 0.905 0.156
Rh4 0.748 0.744 0.494